No. 1
# Ho2Mn2Ga2C, optimized geometry, DFT PBE
data_Ho2Mn2Ga2C
_cell_length_a 10.660
_cell_length_b 3.606
_cell_length_c 7.212
_cell_angle_alpha 90.00
_cell_angle_beta 124.12
_cell_angle_gamma 90.00
_space_group_name_H-M_alt 'C 1 2/m 1'
_space_group_IT_number 12
_space_group_name_Hall '-C 2y'
loop_
_atom_site_label
_atom_site_type_symbol
_atom_site_fract_x
_atom_site_fract_y
_atom_site_fract_z
Ho1 Ho 0.066 0.000 0.279
Mn1 Mn 0.195 0.500 0.059
Ga1 Ga 0.142 0.500 0.672
C1 C 0.000 0.500 0.000
# **Total DFT energy (no corrections)**: -91.456 eV for the cell shown
# **E_form**: -0.4222 eV per atom

=====

No. 2
# Er3MgAs4, optimized geometry, DFT PBE
data_Er3MgAs4
_cell_length_a 5.748
_cell_length_b 5.748
_cell_length_c 5.748
_cell_angle_alpha 90.00
_cell_angle_beta 90.00
_cell_angle_gamma 90.00
_space_group_name_H-M_alt 'P m -3 m'
_space_group_IT_number 221
_space_group_name_Hall '-P 4 2 3'
loop_
_atom_site_label
_atom_site_type_symbol
_atom_site_fract_x
_atom_site_fract_y
_atom_site_fract_z
Er1 Er 0.000 0.000 0.500
Mg1 Mg 0.500 0.500 0.500
As1 As 0.000 0.000 0.000
As2 As 0.000 0.500 0.500
# **Total DFT energy (no corrections)**: -43.257 eV for the cell shown
# **E_form**: -1.1719 eV per atom

=====

No. 3
# TmScZn4, optimized geometry, DFT PBE
data_TmScZn4
_cell_length_a 3.301
_cell_length_b 4.421
_cell_length_c 7.628
_cell_angle_alpha 90.00
_cell_angle_beta 90.00
_cell_angle_gamma 90.00
_space_group_name_H-M_alt 'P m m m'
_space_group_IT_number 47
_space_group_name_Hall '-P 2 2'
loop_
_atom_site_label
_atom_site_type_symbol
_atom_site_fract_x
_atom_site_fract_y
_atom_site_fract_z
Tm1 Tm 0.000 0.000 0.000
Sc1 Sc 0.000 0.500 0.500
Zn1 Zn 0.500 0.000 0.337
Zn2 Zn 0.500 0.500 0.172
# **ΔE to the lowest computed polymorph**: 1 meV per atom
# **Total DFT energy (no corrections)**: -18.067 eV for the cell shown
# **E_form**: -0.3613 eV per atom

=====

No. 4
# RbHg2Bi2, optimized geometry, DFT PBE
data_RbHg2Bi2
_cell_length_a 7.407
_cell_length_b 12.924
_cell_length_c 9.011
_cell_angle_alpha 90.00
_cell_angle_beta 114.22
_cell_angle_gamma 90.00
_space_group_name_H-M_alt 'C 1 2/c 1'
_space_group_IT_number 15
_space_group_name_Hall '-C 2yc'
loop_
_atom_site_label
_atom_site_type_symbol
_atom_site_fract_x
_atom_site_fract_y
_atom_site_fract_z
Rb1 Rb 0.000 0.125 0.250
Hg1 Hg 0.000 0.175 0.750
Hg2 Hg 0.000 0.425 0.250
Bi1 Bi 0.118 0.375 0.985
# **ΔE to the lowest computed polymorph**: 19 meV per atom
# **Total DFT energy (no corrections)**: -40.609 eV for the cell shown
# **E_form**: -0.1638 eV per atom

=====

No. 5
# Cs2ZnBiBr6, optimized geometry, DFT PBE
data_Cs2ZnBiBr6
_cell_length_a 8.065
_cell_length_b 8.065
_cell_length_c 11.265
_cell_angle_alpha 90.00
_cell_angle_beta 90.00
_cell_angle_gamma 90.00
_space_group_name_H-M_alt 'I 4/m m m'
_space_group_IT_number 139
_space_group_name_Hall '-I 4 2'
loop_
_atom_site_label
_atom_site_type_symbol
_atom_site_fract_x
_atom_site_fract_y
_atom_site_fract_z
Cs1 Cs 0.000 0.500 0.250
Zn1 Zn 0.000 0.000 0.000
Bi1 Bi 0.000 0.000 0.500
Br1 Br 0.000 0.000 0.239
Br2 Br 0.244 0.244 0.000
# **Total DFT energy (no corrections)**: -56.266 eV for the cell shown
# **ΔE_f (raw)**: -1123 meV/atom

=====

No. 6
# MgBi, optimized geometry, DFT PBE
data_MgBi
_cell_length_a 4.302
_cell_length_b 16.591
_cell_length_c 4.639
_cell_angle_alpha 90.00
_cell_angle_beta 90.00
_cell_angle_gamma 90.00
_space_group_name_H-M_alt 'P m m n'
_space_group_IT_number 59
loop_
_space_group_symop_operation_xyz
'x,y,z'
'-x,-y,-z'
'-x+1/2,-y+1/2,z'
'x+1/2,y+1/2,-z'
'x+1/2,-y,-z'
'-x+1/2,y,z'
'-x,y+1/2,-z'
'x,-y+1/2,z'
loop_
_atom_site_label
_atom_site_type_symbol
_atom_site_fract_x
_atom_site_fract_y
_atom_site_fract_z
Mg1 Mg 0.250 0.083 0.076
Mg2 Mg 0.250 0.750 0.073
Bi1 Bi 0.250 0.250 0.411
Bi2 Bi 0.250 0.584 0.408
# **Total DFT energy (no corrections)**: -34.164 eV for the cell shown
# **E_form**: -0.1093 eV per atom

=====

No. 7
# GeTeAsBr2, optimized geometry, DFT PBE
data_GeTeAsBr2
_cell_length_a 5.098
_cell_length_b 5.098
_cell_length_c 5.548
_cell_angle_alpha 90.00
_cell_angle_beta 90.00
_cell_angle_gamma 90.00
_space_group_name_H-M_alt 'P 4/m m m'
_space_group_IT_number 123
_space_group_name_Hall '-P 4 2'
loop_
_atom_site_label
_atom_site_type_symbol
_atom_site_fract_x
_atom_site_fract_y
_atom_site_fract_z
Ge1 Ge 0.000 0.000 0.000
Te1 Te 0.500 0.500 0.500
As1 As 0.000 0.000 0.500
Br1 Br 0.000 0.500 0.000
# **ΔE to the lowest computed polymorph**: 0 meV per atom
# **Total DFT energy (no corrections)**: -14.164 eV for the cell shown
# **ΔE_f (raw)**: 318 meV/atom

=====

No. 8
# Ce3Ag2Rh3, optimized geometry, DFT PBE
data_Ce3Ag2Rh3
_cell_length_a 8.2956
_cell_length_b 8.2956
_cell_length_c 5.6061
_cell_angle_alpha 90.00
_cell_angle_beta 90.00
_cell_angle_gamma 120.00
_space_group_name_H-M_alt 'P 63/m c m'
_space_group_IT_number 193
_space_group_name_Hall '-P 6c 2'
loop_
_atom_site_label
_atom_site_type_symbol
_atom_site_fract_x
_atom_site_fract_y
_atom_site_fract_z
Ce1 Ce 0.0000 0.2714 0.2500
Ag1 Ag 0.3333 0.6667 0.0000
Rh1 Rh 0.0000 0.3708 0.7500
# **Total DFT energy (no corrections)**: -98.844 eV for the cell shown
# **E_form**: -0.4829 eV per atom

=====

No. 9
# Ag3C, optimized geometry, DFT PBE
data_Ag3C
_cell_length_a 5.7119
_cell_length_b 5.7119
_cell_length_c 8.8988
_cell_angle_alpha 90.00
_cell_angle_beta 90.00
_cell_angle_gamma 120.00
_space_group_name_H-M_alt 'P 63/m m c'
_space_group_IT_number 194
_space_group_name_Hall '-P 6c 2c'
loop_
_atom_site_label
_atom_site_type_symbol
_atom_site_fract_x
_atom_site_fract_y
_atom_site_fract_z
Ag1 Ag 0.0000 0.5000 0.0000
Ag2 Ag 0.1610 0.3220 0.2500
C1 C 0.0000 0.0000 0.0000
C2 C 0.3333 0.6667 0.7500
# **ΔE to the lowest computed polymorph**: 811 meV per atom
# **Total DFT energy (no corrections)**: -49.225 eV for the cell shown
# **E_form**: 1.3678 eV per atom

=====

No. 10
# Y2TmCd2In2, optimized geometry, DFT PBE
data_Y2TmCd2In2
_cell_length_a 4.9261
_cell_length_b 4.9261
_cell_length_c 26.7745
_cell_angle_alpha 90.00
_cell_angle_beta 90.00
_cell_angle_gamma 120.00
_space_group_name_H-M_alt 'R -3 m'
_space_group_IT_number 166
_space_group_name_Hall '-R 3 2"'
loop_
_atom_site_label
_atom_site_type_symbol
_atom_site_fract_x
_atom_site_fract_y
_atom_site_fract_z
Y1 Y 0.0000 0.0000 0.1274
Tm1 Tm 0.0000 0.0000 0.0000
Cd1 Cd 0.0000 0.0000 0.3924
In1 In 0.0000 0.0000 0.2597
# **Total DFT energy (no corrections)**: -79.278 eV for the cell shown
# **E_form**: -0.2456 eV per atom

=====

No. 11
# La2Te5, optimized geometry, DFT PBE
data_La2Te5
_cell_length_a 4.482
_cell_length_b 46.276
_cell_length_c 4.482
_cell_angle_alpha 90.00
_cell_angle_beta 90.00
_cell_angle_gamma 90.00
_space_group_name_H-M_alt 'C m c m'
_space_group_IT_number 63
_space_group_name_Hall '-C 2c 2'
loop_
_atom_site_label
_atom_site_type_symbol
_atom_site_fract_x
_atom_site_fract_y
_atom_site_fract_z
La1 La 0.000 0.102 0.250
La2 La 0.000 0.306 0.250
Te1 Te 0.000 0.046 0.750
Te2 Te 0.000 0.175 0.250
Te3 Te 0.000 0.250 0.750
Te4 Te 0.000 0.378 0.250
Te5 Te 0.000 0.454 0.750
# **Total DFT energy (no corrections)**: -136.563 eV for the cell shown
# **ΔE_f (raw)**: -1225 meV/atom

=====

No. 12
# NdTiAs2, optimized geometry, DFT PBE
data_NdTiAs2
_cell_length_a 3.9535
_cell_length_b 3.9535
_cell_length_c 19.4690
_cell_angle_alpha 90.00
_cell_angle_beta 90.00
_cell_angle_gamma 120.00
_space_group_name_H-M_alt 'R -3 m'
_space_group_IT_number 166
_space_group_name_Hall '-R 3 2"'
loop_
_atom_site_label
_atom_site_type_symbol
_atom_site_fract_x
_atom_site_fract_y
_atom_site_fract_z
Nd1 Nd 0.0000 0.0000 0.0000
Ti1 Ti 0.0000 0.0000 0.5000
As1 As 0.0000 0.0000 0.2368
# **Total DFT energy (no corrections)**: -79.297 eV for the cell shown
# **E_form**: -1.1177 eV per atom

=====

> Which of these has the lowest total DFT energy (no corrections)?

La2Te5

=====

> What is the formula in the fifth record?

Cs2ZnBiBr6